No. 1
## CeCo9Si4 (PBEsol)

Data for a geometry-optimized CeCo9Si4 structure. Values from VASP.

```
&SYSTEM
  ibrav = 0, nat = 28, ntyp = 3
/
ATOMIC_SPECIES
Ce 140.12 Ce.upf
Co 58.93 Co.upf
Si 28.09 Si.upf
ATOMIC_POSITIONS angstrom
Ce 2.790 0.296 0.077
Ce 2.283 4.081 3.893
Co -0.355 1.509 7.094
Co -0.659 6.060 0.539
Co -0.330 2.256 3.278
Co -0.684 5.313 4.355
Co -0.099 0.531 1.538
Co -0.915 7.038 6.095
Co -0.522 4.324 2.278
Co -0.492 3.245 5.354
Co 1.837 1.187 2.885
Co 1.992 -0.781 4.857
Co 1.746 3.032 -0.930
Co 1.484 4.988 1.042
Co 3.235 3.190 1.084
Co 3.081 5.158 -0.888
Co 3.327 1.345 4.900
Co 3.589 -0.611 2.927
Co -0.403 3.796 0.001
Co -0.104 -0.012 3.816
Si 0.622 5.213 6.368
Si 1.034 2.639 1.338
Si 0.598 6.432 2.552
Si 1.059 1.421 5.154
Si 4.451 -0.836 -2.398
Si 4.039 1.738 2.631
Si 4.475 -2.055 1.418
Si 4.014 2.956 -1.184
CELL_PARAMETERS angstrom
-0.207 -0.023 7.632
6.087 -3.192 -3.663
-0.807 7.592 0.001
```

Values from the calculation:
N(E_F) ... 1.148 states/eV/atom
E ... -213.779 eV for the cell shown

---

No. 2
## NiPbF6 (PBEsol)

Data for a geometry-optimized NiPbF6 structure. Values from VASP.

```
&SYSTEM
  ibrav = 0, nat = 8, ntyp = 3
/
ATOMIC_SPECIES
Pb 207.20 Pb.upf
Ni 58.69 Ni.upf
F 19.00 F.upf
ATOMIC_POSITIONS angstrom
Pb -4.982 3.507 -1.750
Ni 0.000 0.000 0.000
F -5.733 1.524 -1.524
F -3.067 2.720 -2.260
F -4.426 3.534 0.308
F -6.897 4.294 -1.240
F -4.230 5.490 -1.976
F -5.538 3.479 -3.809
CELL_PARAMETERS angstrom
-1.910 2.781 -3.816
-4.980 -0.200 -1.053
-3.073 4.433 1.369
```

Values from the calculation:
N(E_F) ... 0.562 states/eV/atom
E ... -36.276 eV for the cell shown